1.
Material: NbOs3Rh
Method: DFT, PBE
State: optimized geometry

a b c (Å): 5.2678 5.2678 5.2495
angles (deg): 59.88 59.88 60.00
Sites, in units of the cell vectors:
Nb 0.4750 0.4750 0.5750
Os 0.4750 0.9750 0.5750
Os 0.9750 0.4750 0.5750
Os 0.9750 0.9750 0.5750
Rh 0.9750 0.9750 0.0750

Energy relative to the elements (kJ/mol of formula units): 572.5
Total magnetic moment (μB per formula unit): 0.0
Density of states at the Fermi level (states/eV per atom): 1.673
Crystal system: trigonal
E above lowest polymorph (eV/f.u.): 0.00


2.
Material: PuTeP
Method: DFT, PBE
State: optimized geometry

a b c (Å): 4.1395 4.1370 12.1466
angles (deg): 109.91 90.00 120.02
Site moments in Bohr magnetons follow the coordinates.
Sites, in units of the cell vectors:
Te 0.3876 0.7752 0.3316  -0.22
Te 0.6124 0.2248 0.6684  -0.22
Pu 0.6089 0.2178 0.1635  4.93
Pu 0.3911 0.7822 0.8365  4.93
P 0.8406 0.6813 0.0108  -0.07
P 0.1594 0.3187 0.9892  -0.07

Total energy (eV per formula unit): -25.0
Total magnetic moment (μB per formula unit): 4.7
Density of states at the Fermi level (states/eV per atom): 2.811
Crystal system: trigonal


3.
Material: NiGe3Ir
Method: DFT, PBE
State: optimized geometry

a b c (Å): 4.4702 4.4702 4.4702
angles (deg): 90.00 90.00 90.00
Sites, in units of the cell vectors:
Ni 0.0000 0.0000 0.0000
Ge 0.0000 0.5000 0.0000
Ge 0.0000 0.0000 0.5000
Ge 0.5000 0.0000 0.0000
Ir 0.5000 0.5000 0.5000

Energy relative to the elements (kJ/mol of formula units): 280.7
Total magnetic moment (μB per formula unit): 0.0
Density of states at the Fermi level (states/eV per atom): 0.752
Crystal system: cubic
E above lowest polymorph (eV/f.u.): 3.43


4.
Material: NdAl11Pd
Method: DFT, PBE
State: optimized geometry

a b c (Å): 5.2506 7.3956 6.8239
angles (deg): 82.42 67.37 69.95
Sites, in units of the cell vectors:
Nd 0.0000 0.0000 0.0000
Al 0.2813 0.2269 0.2199
Al 0.7187 0.7731 0.7801
Al 0.4987 0.7731 0.2199
Al 0.5013 0.2269 0.7801
Al 0.3524 0.6434 0.6459
Al 0.6476 0.3566 0.3541
Al 0.0017 0.3566 0.6459
Al 0.9983 0.6434 0.3541
Al 0.0000 0.5000 0.0000
Al 0.5000 0.0000 0.5000
Al 0.0000 0.0000 0.5000
Pd 0.5000 0.5000 0.0000

Energy relative to the elements (kJ/mol of formula units): -309.8
Total magnetic moment (μB per formula unit): 0.0
Density of states at the Fermi level (states/eV per atom): 0.427
Crystal system: monoclinic


5.
Material: KSi2P
Method: DFT, PBE
State: optimized geometry

a b c (Å): 5.3920 5.3920 5.3920
angles (deg): 134.00 134.00 67.09
Sites, in units of the cell vectors:
K 0.2500 0.7500 0.5000
P 0.7500 0.2500 0.5000
Si 0.0000 0.0000 0.0000
Si 0.5000 0.5000 0.0000

Total magnetic moment (μB per formula unit): 0.0
Density of states at the Fermi level (states/eV per atom): 0.525
Crystal system: tetragonal
E above lowest polymorph (eV/f.u.): 2.68


6.
Material: Sr2SnS
Method: DFT, PBE
State: optimized geometry

a b c (Å): 5.5665 5.5665 5.5665
angles (deg): 60.00 60.00 60.00
Sites, in units of the cell vectors:
Sr 0.2500 0.2500 0.2500
Sr 0.7500 0.7500 0.7500
S 0.0000 0.0000 0.0000
Sn 0.5000 0.5000 0.5000

Total magnetic moment (μB per formula unit): 0.0
Density of states at the Fermi level (states/eV per atom): 1.367
Crystal system: cubic
E above lowest polymorph (eV/f.u.): 0.68


7.
Material: MgSc2In
Method: DFT, PBE
State: optimized geometry

a b c (Å): 5.0251 5.0251 5.0251
angles (deg): 60.00 60.00 60.00
Sites, in units of the cell vectors:
Sc 0.2500 0.2500 0.2500
Sc 0.7500 0.7500 0.7500
Mg 0.0000 0.0000 0.0000
In 0.5000 0.5000 0.5000

Energy relative to the elements (kJ/mol of formula units): -114.8
Total magnetic moment (μB per formula unit): 0.0
Density of states at the Fermi level (states/eV per atom): 1.007
Crystal system: cubic
E above lowest polymorph (eV/f.u.): 0.00


8.
Material: NaMg6V
Method: DFT, PBE
State: optimized geometry

a b c (Å): 6.3231 6.3231 5.1464
angles (deg): 90.00 90.00 117.96
Site moments in Bohr magnetons follow the coordinates.
Sites, in units of the cell vectors:
Na 0.6622 0.3378 0.5000  0.00
Mg 0.1656 0.3387 0.5000  -0.01
Mg 0.6613 0.8344 0.5000  -0.01
Mg 0.3252 0.1467 0.0000  0.00
Mg 0.8533 0.6748 0.0000  0.00
Mg 0.3311 0.6689 0.0000  0.00
Mg 0.8405 0.1595 0.0000  0.00
V 0.1609 0.8391 0.5000  2.76

Energy relative to the elements (kJ/mol of formula units): 177.0
Total magnetic moment (μB per formula unit): 3.5
Density of states at the Fermi level (states/eV per atom): 0.527
Crystal system: orthorhombic
E above lowest polymorph (eV/f.u.): 0.00


Among the records above, which one has the highest density of states at the Fermi level?
PuTeP